Entry 1:
{"formula": "ScI2F", "functional": "PBE", "state": "optimized geometry", "cell": [[-3.792, 3.792, 4.001], [3.792, -3.792, 4.001], [3.792, 3.792, -4.001]], "species": ["Sc", "Sc", "I", "I", "I", "I", "F", "F"], "fractional_positions": [[0.000, 0.000, 0.000], [0.750, 0.250, 0.500], [0.110, 0.625, 0.985], [0.375, 0.360, 0.485], [0.640, 0.125, 0.015], [0.875, 0.890, 0.515], [0.250, 0.750, 0.500], [0.500, 0.500, 0.000]], "formation_energy_uncorrected_ev_per_atom": -1.12, "energy_ev_per_cell": -31.538, "de_polymorph_mev_per_atom": 1012, "spacegroup": "I-42d, No. 122"}


Entry 2:
{"formula": "LiS3Cl", "functional": "PBE", "state": "optimized geometry", "cell": [[4.716, 0.000, 0.000], [0.000, 4.716, 0.000], [0.000, 0.000, 4.716]], "species": ["Li", "S", "S", "S", "Cl"], "fractional_positions": [[0.000, 0.000, 0.000], [0.000, 0.500, 0.500], [0.500, 0.000, 0.500], [0.500, 0.500, 0.000], [0.500, 0.500, 0.500]], "formation_energy_uncorrected_ev_per_atom": 0.66, "energy_ev_per_cell": -12.837, "de_polymorph_mev_per_atom": 0, "spacegroup": "Pm-3m, No. 221"}


Entry 3:
{"formula": "LiLa2GePt6", "functional": "PBE", "state": "optimized geometry", "cell": [[4.926, -2.840, 0.000], [4.926, 2.840, 0.000], [-3.294, 0.000, 7.525]], "species": ["Li", "La", "La", "Ge", "Pt", "Pt", "Pt", "Pt", "Pt", "Pt"], "fractional_positions": [[0.000, 0.000, 0.000], [0.293, 0.293, 0.880], [0.707, 0.707, 0.120], [0.500, 0.500, 0.500], [0.231, 0.752, 0.736], [0.248, 0.248, 0.264], [0.248, 0.769, 0.264], [0.752, 0.231, 0.736], [0.752, 0.752, 0.736], [0.769, 0.248, 0.264]], "energy_ev_per_cell": -60.355, "spacegroup": "C2/m, No. 12", "formation_energy_kj_per_mol_atoms": -75}


Entry 4:
{"formula": "Sc2InCl", "functional": "PBE", "state": "optimized geometry", "cell": [[3.340, 0.000, 0.000], [0.000, 4.984, 0.000], [-1.665, 0.000, 5.539]], "species": ["Sc", "Sc", "In", "Cl"], "fractional_positions": [[0.000, 0.000, 0.000], [0.317, 0.500, 0.634], [0.731, 0.000, 0.465], [0.002, 0.500, 0.006]], "formation_energy_uncorrected_ev_per_atom": -0.72, "energy_ev_per_cell": -20.133, "de_polymorph_mev_per_atom": 52, "spacegroup": "Pm, No. 6"}


Entry 5:
{"formula": "Ir2RuW2", "functional": "PBE", "state": "optimized geometry", "cell": [[3.903, 0.000, 0.000], [1.950, 4.380, 0.000], [1.945, -0.066, 4.394]], "species": ["Ir", "Ir", "Ru", "W", "W"], "fractional_positions": [[0.098, 0.205, 0.102], [0.902, 0.795, 0.898], [0.500, 0.000, 0.500], [0.294, 0.618, 0.295], [0.706, 0.382, 0.705]], "energy_ev_per_cell": -53.628, "de_polymorph_mev_per_atom": 0, "spacegroup": "P-1, No. 2", "formation_energy_kj_per_mol_atoms": -14}


Entry 6:
{"formula": "CuAs2Pt", "functional": "PBE", "state": "optimized geometry", "cell": [[1.847, 1.066, 6.052], [-1.847, 1.066, 6.052], [0.000, -2.133, 6.052]], "species": ["Cu", "As", "As", "Pt"], "fractional_positions": [[0.000, 0.000, 0.000], [0.274, 0.274, 0.274], [0.486, 0.486, 0.486], [0.748, 0.748, 0.748]], "energy_ev_per_cell": -19.491, "de_polymorph_mev_per_atom": 46, "spacegroup": "R3m, No. 160", "formation_energy_kj_per_mol_atoms": -1}